No. 1
Here is a geometry-optimized AgIr2Os structure from Alexandria via LeMat-Bulk. Energies are from PBE.

Structure (POSCAR):
```
AgIr2Os
1.0
2.7412 0.0000 0.0000
0.0000 3.9059 0.0000
0.0000 0.0000 5.6901
Ag Ir Os
1 2 1
Direct
0.0000 0.0000 0.0000 Ag
0.0000 0.0000 0.5096 Ir
0.5000 0.5000 0.2611 Ir
0.5000 0.5000 0.7225 Os
```

- Calculated density: 18.60 g/cm3
- DFT formation energy: 0.42 eV per atom



No. 2
Here is a geometry-optimized Ag2IrOs structure from Alexandria via LeMat-Bulk. Energies are from PBE.

Structure (POSCAR):
```
Ag2IrOs
1.0
2.7744 0.0000 0.0000
0.0000 4.7689 0.0000
0.0000 0.0000 9.8278
Ag Ir Os
4 2 2
Direct
0.0000 0.0000 0.0000 Ag
0.0000 0.5000 0.2598 Ag
0.5000 0.0000 0.2598 Ag
0.5000 0.5000 0.0000 Ag
0.0000 0.0000 0.5173 Ir
0.5000 0.5000 0.5173 Ir
0.0000 0.5000 0.7415 Os
0.5000 0.0000 0.7415 Os
```

- Calculated density: 15.28 g/cm3
- DFT formation energy: 0.46 eV per atom



No. 3
Here is a geometry-optimized AgIr4Os structure from Alexandria via LeMat-Bulk. Energies are from PBE.

Structure (POSCAR):
```
AgIr4Os
1.0
0.0000 3.6436 3.6436
3.6436 0.0000 3.6436
3.6436 3.6436 0.0000
Ag Ir Os
1 4 1
Direct
0.0000 0.0000 0.0000 Ag
0.1250 0.6250 0.6250 Ir
0.6250 0.1250 0.6250 Ir
0.6250 0.6250 0.1250 Ir
0.6250 0.6250 0.6250 Ir
0.2500 0.2500 0.2500 Os
```

- Calculated density: 18.31 g/cm3
- DFT formation energy: 0.77 eV per atom